(1)
Below is a relaxed structure of In2SnTe2, with properties calculated at the GGA-PBE level.

Output
**E above lowest polymorph**: 0.000 eV per atom
**Formation energy (no corrections)**: -188 meV/atom
**Spin magnetization**: 0.0 μB per cell
**DFT total energy**: -16.7 eV per formula unit

Unit cell a=4.675 b=8.595 c=9.343 alpha=105.98 beta=90.02 gamma=105.74
Fractional positions:
In 0.010 0.018 0.259
In 0.345 0.693 0.674
In 0.655 0.307 0.326
In 0.990 0.982 0.741
Sn 0.343 0.689 0.175
Sn 0.657 0.311 0.825
Te 0.156 0.311 0.588
Te 0.159 0.318 0.070
Te 0.841 0.682 0.930
Te 0.844 0.689 0.412

=====

(2)
Below is a relaxed structure of CaBiI2, with properties calculated at the GGA-PBE level.

Output
**E above lowest polymorph**: 0.000 eV per atom
**Formation energy (no corrections)**: -519 meV/atom
**Spin magnetization**: 0.0 μB per cell
**DFT total energy**: -11.1 eV per formula unit

Unit cell a=7.377 b=7.377 c=7.377 alpha=105.17 beta=105.17 gamma=118.46
Fractional positions:
Ca 0.000 0.000 0.000
Ca 0.750 0.250 0.500
Bi 0.250 0.750 0.500
Bi 0.500 0.500 0.000
I 0.097 0.625 0.972
I 0.375 0.347 0.472
I 0.653 0.125 0.028
I 0.875 0.903 0.528

=====

(3)
Below is a relaxed structure of Ga3Ag3Sb, with properties calculated at the GGA-PBE level.

Output
**Formation energy (no corrections)**: 516 meV/atom
**Spin magnetization**: 0.0 μB per cell
**DFT total energy**: -18.1 eV per formula unit

Unit cell a=7.207 b=7.207 c=7.207 alpha=90.00 beta=90.00 gamma=90.00
Fractional positions:
Ga 0.000 0.250 0.500
Ga 0.000 0.750 0.500
Ga 0.250 0.500 0.000
Ga 0.500 0.000 0.250
Ga 0.500 0.000 0.750
Ga 0.750 0.500 0.000
Ag 0.000 0.500 0.250
Ag 0.000 0.500 0.750
Ag 0.250 0.000 0.500
Ag 0.500 0.250 0.000
Ag 0.500 0.750 0.000
Ag 0.750 0.000 0.500
Sb 0.000 0.000 0.000
Sb 0.500 0.500 0.500

=====

(4)
Below is a relaxed structure of RbSc2ZnTe4, with properties calculated at the GGA-PBE level.

Output
**Formation energy (no corrections)**: -939 meV/atom
**Spin magnetization**: 0.8 μB per cell
**DFT total energy**: -35.0 eV per formula unit

Unit cell a=7.836 b=7.836 c=15.384 alpha=90.00 beta=90.00 gamma=148.31
Fractional positions:
Rb 0.123 0.877 0.750
Rb 0.877 0.123 0.250
Sc 0.379 0.621 0.556
Sc 0.379 0.621 0.944
Sc 0.621 0.379 0.056
Sc 0.621 0.379 0.444
Zn 0.170 0.830 0.250
Zn 0.830 0.170 0.750
Te 0.000 0.000 0.000
Te 0.000 0.000 0.500
Te 0.254 0.746 0.100
Te 0.254 0.746 0.400
Te 0.435 0.565 0.750
Te 0.565 0.435 0.250
Te 0.746 0.254 0.600
Te 0.746 0.254 0.900

=====

(5)
Below is a relaxed structure of ScClF2, with properties calculated at the GGA-PBE level.

Output
**E above lowest polymorph**: 0.000 eV per atom
**Formation energy (no corrections)**: -3176 meV/atom
**Spin magnetization**: 0.0 μB per cell
**DFT total energy**: -24.6 eV per formula unit

Unit cell a=5.883 b=5.883 c=6.733 alpha=90.00 beta=90.00 gamma=147.58
Fractional positions:
Sc 0.239 0.761 0.750
Sc 0.761 0.239 0.250
Cl 0.429 0.571 0.250
Cl 0.571 0.429 0.750
F 0.185 0.815 0.076
F 0.185 0.815 0.424
F 0.815 0.185 0.576
F 0.815 0.185 0.924

=====

(6)
Below is a relaxed structure of Ba7Zn2Hg2, with properties calculated at the GGA-PBE level.

Output
**Spin magnetization**: 0.0 μB per cell
**DFT total energy**: -17.8 eV per formula unit
**ΔH_f (0 K)**: -0.107 eV per atom

Unit cell a=7.864 b=7.864 c=8.544 alpha=90.00 beta=90.00 gamma=110.56
Fractional positions:
Ba 0.000 0.000 0.000
Ba 0.000 0.500 0.275
Ba 0.000 0.500 0.725
Ba 0.500 0.000 0.275
Ba 0.500 0.000 0.725
Ba 0.500 0.500 0.255
Ba 0.500 0.500 0.745
Zn 0.293 0.707 0.000
Zn 0.707 0.293 0.000
Hg 0.168 0.168 0.500
Hg 0.832 0.832 0.500